Crystalline In2Hg3Bi2 at its relaxed geometry, computed with PBE-GGA.

## Properties
**E_form**: 0.047 eV/atom
**Total magnetization**: 0.00 Bohr magnetons per cell

Unit cell a=4.2884 b=6.3851 c=7.9358 alpha=76.14 beta=89.63 gamma=70.98
Sites, in units of the cell vectors:
In 0.0963 0.2979 0.2397
In 0.9037 0.7021 0.7603
Hg 0.2062 0.0954 0.6486
Hg 0.5000 0.5000 0.5000
Hg 0.7938 0.9046 0.3514
Bi 0.3918 0.7199 0.0818
Bi 0.6082 0.2801 0.9182